No. 1
KMgSc2 | SCAN | single point on PBEsol structure

Cell and atoms, written as POSCAR:
```
KMgSc2
1.0
-2.4523 1.2722 1.7988
-1.4241 -1.8095 2.3592
6.6763 3.9271 9.3453
Sc K Mg
2 1 1
direct
0.0965 0.0965 0.7105
0.9035 0.9035 0.2895
0.0000 0.0000 0.0000
0.5000 0.5000 0.5000
```

## Properties
M_tot (μB per formula unit): 1.05
Raw total energy (eV/atom): -10.085
SG: R-3m (166)
Calculated formation energy (kJ/mol of formula units): 139

No. 2
Li2CaTe | SCAN | single point on PBEsol structure

Cell and atoms, written as POSCAR:
```
Li2CaTe
1.0
-3.0270 -0.8087 2.2960
-2.7491 -0.8217 -3.9139
4.4004 -4.6213 0.8881
Ca Li Te
1 2 1
direct
0.0000 0.5000 0.0000
0.7916 0.7916 0.5831
0.2084 0.2084 0.4169
0.5000 0.0000 0.0000
```

## Properties
M_tot (μB per formula unit): 0.40
Raw total energy (eV/atom): -13.527
SG: Immm (71)
Formation energy without anion corrections (eV/atom): -0.603

No. 3
AlRe2Os | SCAN | single point on PBEsol structure

Cell and atoms, written as POSCAR:
```
AlRe2Os
1.0
-0.6784 2.7010 0.1613
-1.8351 -0.5815 2.0188
5.1973 1.0061 5.0141
Al Re Os
1 2 1
direct
0.5000 0.5000 0.0000
0.0000 0.0000 0.2493
0.0000 0.0000 0.7507
0.5000 0.5000 0.5000
```

## Properties
M_tot (μB per formula unit): 0.00
Raw total energy (eV/atom): -55.519
SG: P4/mmm (123)
Calculated formation energy (kJ/mol of formula units): -24

No. 4
LaZrCd | SCAN | single point on PBEsol structure

Cell and atoms, written as POSCAR:
```
LaZrCd
1.0
4.8851 0.0000 0.0000
2.4426 4.2307 0.0000
2.4426 1.4102 3.9887
Cd Zr La
1 1 1
direct
0.0000 0.0000 0.0000
0.7500 0.7500 0.7500
0.5000 0.5000 0.5000
```

## Properties
M_tot (μB per formula unit): 1.04
Offset from the most stable computed form (meV/atom): 599.6
Raw total energy (eV/atom): -34.227
SG: F-43m (216)
Calculated formation energy (kJ/mol of formula units): 148

No. 5
SmHoMg2 | SCAN | single point on PBEsol structure

Cell and atoms, written as POSCAR:
```
SmHoMg2
1.0
-2.4252 3.4283 -3.2566
-4.9643 1.5895 1.0344
-0.9156 4.9859 1.5947
Mg Ho Sm
2 1 1
direct
0.7500 0.7500 0.7500
0.2500 0.2500 0.2500
0.5000 0.5000 0.5000
0.0000 0.0000 0.0000
```

## Properties
M_tot (μB per formula unit): 0.01
Raw total energy (eV/atom): -25.931
SG: Fm-3m (225)
Calculated formation energy (kJ/mol of formula units): -34

No. 6
RbAlCo2 | SCAN | single point on PBEsol structure

Cell and atoms, written as POSCAR:
```
RbAlCo2
1.0
-2.2549 2.8508 -2.5800
-4.4571 0.0030 0.0483
-2.2066 3.4066 1.8422
Co Rb Al
2 1 1
direct
0.7500 0.7500 0.7500
0.2500 0.2500 0.2500
0.5000 0.5000 0.5000
0.0000 0.0000 0.0000
```

## Properties
M_tot (μB per formula unit): 2.17
Raw total energy (eV/atom): -14.365
SG: Fm-3m (225)
Calculated formation energy (kJ/mol of formula units): 544

No. 7
NaAlB3 | SCAN | single point on PBEsol structure

Cell and atoms, written as POSCAR:
```
NaAlB3
1.0
-2.4537 -2.9632 -1.7881
3.0191 -2.9043 0.6700
-1.6920 -0.8850 3.7885
B Na Al
3 1 1
direct
0.0000 0.0000 0.5000
0.5000 0.0000 0.0000
0.0000 0.5000 0.0000
0.0000 0.0000 0.0000
0.5000 0.5000 0.5000
```

## Properties
M_tot (μB per formula unit): 0.00
Raw total energy (eV/atom): -4.083
SG: Pm-3m (221)
Calculated formation energy (kJ/mol of formula units): 1335

No. 8
Ti7O13 | SCAN | single point on PBEsol structure

Cell and atoms, written as POSCAR:
```
Ti7O13
1.0
5.5234 -0.0032 -0.0066
2.2697 6.7446 0.0000
0.1271 1.2109 11.2038
O Ti
26 14
direct
0.9427 0.9315 0.4072
0.4242 0.6865 0.6841
0.1984 0.5530 0.4720
0.1514 0.3691 0.7063
0.8863 0.7680 0.0520
0.6840 0.2864 0.7500
0.8486 0.6309 0.2937
0.2838 0.5282 0.9012
0.5003 0.9953 0.7957
0.0330 0.9233 0.8334
0.4997 0.0047 0.2043
0.9670 0.0767 0.1666
0.5758 0.3135 0.3159
0.5538 0.1537 0.5557
0.8719 0.7640 0.6235
0.4462 0.8463 0.4443
0.2419 0.4036 0.1402
0.1281 0.2360 0.3765
0.6382 0.1668 0.9858
0.7162 0.4718 0.0988
0.8016 0.4470 0.5280
0.3160 0.7136 0.2500
0.3618 0.8332 0.0142
0.7581 0.5964 0.8598
0.0573 0.0685 0.5928
0.1137 0.2320 0.9480
0.2162 0.9835 0.2932
0.6087 0.2383 0.1443
0.7954 0.2087 0.4448
0.2143 0.4859 0.2945
0.2046 0.7913 0.5552
0.0000 0.0000 0.0000
0.2056 0.2886 0.5510
0.7944 0.7114 0.4490
0.3893 0.2646 0.8512
0.7857 0.5141 0.7055
0.0000 0.5000 0.0000
0.7838 0.0165 0.7068
0.3913 0.7617 0.8557
0.6107 0.7354 0.1488
```

## Properties
M_tot (μB per formula unit): 1.41
Raw total energy (eV/atom): -12.953
SG: P-1 (2)
Formation energy without anion corrections (eV/atom): -3.292

No. 9
Ta2HgWC | SCAN | single point on PBEsol structure

Cell and atoms, written as POSCAR:
```
Ta2HgWC
1.0
4.2606 0.0000 0.0000
0.0000 4.2606 0.0000
0.0000 0.0000 4.3186
Ta C W Hg
2 1 1 1
direct
0.5000 0.0000 0.0000
0.0000 0.5000 0.0000
0.0000 0.0000 0.0000
0.5000 0.5000 0.5000
0.0000 0.0000 0.5000
```

## Properties
M_tot (μB per formula unit): 0.00
Raw total energy (eV/atom): -55.577
SG: P4/mmm (123)
Calculated formation energy (kJ/mol of formula units): 312

No. 10
SiHgBiPb2 | SCAN | single point on PBEsol structure

Cell and atoms, written as POSCAR:
```
SiHgBiPb2
1.0
-2.8516 -1.8278 -3.8533
-2.6840 -3.8881 3.8305
-4.2850 4.1450 1.2049
Si Bi Pb Hg
1 1 2 1
direct
0.5000 0.0000 0.0000
0.0000 0.0000 0.0000
0.0000 0.0000 0.5000
0.0000 0.5000 0.0000
0.5000 0.5000 0.5000
```

## Properties
M_tot (μB per formula unit): 0.00
Raw total energy (eV/atom): -60.741
SG: P4/mmm (123)
Formation energy without anion corrections (eV/atom): 0.923

No. 11
BeP2Os | SCAN | single point on PBEsol structure

Cell and atoms, written as POSCAR:
```
BeP2Os
1.0
-0.5294 0.3447 -2.9867
-3.9278 0.3085 0.7319
0.3845 3.9697 0.3899
P Be Os
2 1 1
direct
0.0000 0.5000 0.0000
0.0000 0.0000 0.5000
0.5000 0.5000 0.5000
0.5000 0.0000 0.0000
```

## Properties
M_tot (μB per formula unit): 0.00
Raw total energy (eV/atom): -23.791
SG: P4/mmm (123)
Calculated formation energy (kJ/mol of formula units): 180

No. 12
Y2SbIr | SCAN | single point on PBEsol structure

Cell and atoms, written as POSCAR:
```
Y2SbIr
1.0
-3.8273 -1.1316 -0.3342
0.8559 -3.5380 2.1769
0.7330 3.1712 4.8659
Y Sb Ir
2 1 1
direct
0.2594 0.5000 0.5188
0.9683 0.0000 0.9365
0.5437 0.5000 0.0875
0.7118 0.0000 0.4235
```

## Properties
M_tot (μB per formula unit): 0.00
Raw total energy (eV/atom): -42.061
SG: Amm2 (38)
Formation energy without anion corrections (eV/atom): -1.050